Record 1
Compound: SrTlAgPd
Source: the Alexandria database
Functional: PBE-GGA
Structure: relaxed

CIF file:
```
data_SrTlAgPd
_cell_length_a 5.121
_cell_length_b 5.121
_cell_length_c 5.121
_cell_angle_alpha 60.00
_cell_angle_beta 60.00
_cell_angle_gamma 60.00
_symmetry_space_group_name_H-M 'P 1'
_symmetry_Int_Tables_number 1
loop_
_symmetry_equiv_pos_as_xyz
'x,y,z'
loop_
_atom_site_label
_atom_site_type_symbol
_atom_site_fract_x
_atom_site_fract_y
_atom_site_fract_z
Sr1 Sr 0.750 0.750 0.750
Tl1 Tl 0.250 0.250 0.250
Pd1 Pd 0.000 0.000 0.000
Ag1 Ag 0.500 0.500 0.500
```

Properties
The value obtained for the calculated formation energy is -0.255 eV per atom. As for the density of states at the Fermi level: 0.56 states/eV/atom. The relative energy among the computed polymorphs is 77.3 meV/atom.


Record 2
Compound: Sr2Tl2AgPd5
Source: the Alexandria database
Functional: PBE-GGA
Structure: relaxed

CIF file:
```
data_Sr2Tl2AgPd5
_cell_length_a 3.875
_cell_length_b 10.622
_cell_length_c 10.622
_cell_angle_alpha 90.00
_cell_angle_beta 90.00
_cell_angle_gamma 90.00
_symmetry_space_group_name_H-M 'P 1'
_symmetry_Int_Tables_number 1
loop_
_symmetry_equiv_pos_as_xyz
'x,y,z'
loop_
_atom_site_label
_atom_site_type_symbol
_atom_site_fract_x
_atom_site_fract_y
_atom_site_fract_z
Sr1 Sr 0.000 0.672 0.172
Sr2 Sr 0.000 0.328 0.828
Sr3 Sr 0.000 0.172 0.328
Sr4 Sr 0.000 0.828 0.672
Tl1 Tl 0.000 0.128 0.628
Tl2 Tl 0.000 0.872 0.372
Tl3 Tl 0.000 0.628 0.872
Tl4 Tl 0.000 0.372 0.128
Ag1 Ag 0.000 0.000 0.000
Ag2 Ag 0.000 0.500 0.500
Pd1 Pd 0.500 0.190 0.057
Pd2 Pd 0.500 0.810 0.943
Pd3 Pd 0.500 0.057 0.810
Pd4 Pd 0.500 0.690 0.443
Pd5 Pd 0.500 0.943 0.190
Pd6 Pd 0.500 0.310 0.557
Pd7 Pd 0.500 0.557 0.690
Pd8 Pd 0.500 0.443 0.310
Pd9 Pd 0.500 0.500 0.000
Pd10 Pd 0.500 0.000 0.500
```

Properties
The value obtained for the calculated formation energy is -0.291 eV per atom. As for the density of states at the Fermi level: 0.48 states/eV/atom.


Record 3
Compound: SrTl2AgPd
Source: the Alexandria database
Functional: PBE-GGA
Structure: relaxed

CIF file:
```
data_SrTl2AgPd
_cell_length_a 5.248
_cell_length_b 5.248
_cell_length_c 5.353
_cell_angle_alpha 90.00
_cell_angle_beta 90.00
_cell_angle_gamma 90.00
_symmetry_space_group_name_H-M 'P 1'
_symmetry_Int_Tables_number 1
loop_
_symmetry_equiv_pos_as_xyz
'x,y,z'
loop_
_atom_site_label
_atom_site_type_symbol
_atom_site_fract_x
_atom_site_fract_y
_atom_site_fract_z
Sr1 Sr 0.500 0.500 0.500
Tl1 Tl 0.000 0.500 0.000
Tl2 Tl 0.500 0.000 0.000
Pd1 Pd 0.000 0.000 0.000
Ag1 Ag 0.000 0.000 0.500
```

Properties
The value obtained for the calculated formation energy is -0.112 eV per atom. As for the density of states at the Fermi level: 0.62 states/eV/atom.


Record 4
Compound: SrTlAgPd
Source: the Alexandria database
Functional: PBE-GGA
Structure: relaxed

CIF file:
```
data_SrTlAgPd
_cell_length_a 4.859
_cell_length_b 4.843
_cell_length_c 5.836
_cell_angle_alpha 114.66
_cell_angle_beta 90.00
_cell_angle_gamma 120.11
_symmetry_space_group_name_H-M 'P 1'
_symmetry_Int_Tables_number 1
loop_
_symmetry_equiv_pos_as_xyz
'x,y,z'
loop_
_atom_site_label
_atom_site_type_symbol
_atom_site_fract_x
_atom_site_fract_y
_atom_site_fract_z
Sr1 Sr 0.620 0.240 0.504
Tl1 Tl 0.097 0.195 0.934
Ag1 Ag 0.828 0.656 0.127
Pd1 Pd 0.421 0.841 0.903
```

Properties
The value obtained for the calculated formation energy is -0.333 eV per atom. As for the density of states at the Fermi level: 0.56 states/eV/atom. The relative energy among the computed polymorphs is 0.0 meV/atom.


Record 5
Compound: SrYAgPd
Source: the Alexandria database
Functional: PBE-GGA
Structure: relaxed

CIF file:
```
data_SrYAgPd
_cell_length_a 5.212
_cell_length_b 5.212
_cell_length_c 5.212
_cell_angle_alpha 60.00
_cell_angle_beta 60.00
_cell_angle_gamma 60.00
_symmetry_space_group_name_H-M 'P 1'
_symmetry_Int_Tables_number 1
loop_
_symmetry_equiv_pos_as_xyz
'x,y,z'
loop_
_atom_site_label
_atom_site_type_symbol
_atom_site_fract_x
_atom_site_fract_y
_atom_site_fract_z
Y1 Y 0.750 0.750 0.750
Sr1 Sr 0.250 0.250 0.250
Pd1 Pd 0.000 0.000 0.000
Ag1 Ag 0.500 0.500 0.500
```

Properties
The value obtained for the calculated formation energy is -0.422 eV per atom. As for the density of states at the Fermi level: 0.60 states/eV/atom.


Record 6
Compound: SrZn3AgPd
Source: the Alexandria database
Functional: PBE-GGA
Structure: relaxed

CIF file:
```
data_SrZn3AgPd
_cell_length_a 5.773
_cell_length_b 6.500
_cell_length_c 7.412
_cell_angle_alpha 116.01
_cell_angle_beta 90.00
_cell_angle_gamma 90.00
_symmetry_space_group_name_H-M 'P 1'
_symmetry_Int_Tables_number 1
loop_
_symmetry_equiv_pos_as_xyz
'x,y,z'
loop_
_atom_site_label
_atom_site_type_symbol
_atom_site_fract_x
_atom_site_fract_y
_atom_site_fract_z
Sr1 Sr 0.750 0.270 0.540
Sr2 Sr 0.250 0.730 0.460
Zn1 Zn 0.250 0.143 0.286
Zn2 Zn 0.000 0.305 0.000
Zn3 Zn 0.500 0.695 0.000
Zn4 Zn 0.500 0.305 0.000
Zn5 Zn 0.000 0.695 0.000
Zn6 Zn 0.750 0.857 0.714
Ag1 Ag 0.250 0.349 0.698
Ag2 Ag 0.750 0.651 0.302
Pd1 Pd 0.250 0.948 0.897
Pd2 Pd 0.750 0.052 0.103
```

Properties
The value obtained for the calculated formation energy is -0.236 eV per atom. As for the density of states at the Fermi level: 0.35 states/eV/atom.


Record 7
Compound: Sr2Zn4Ag3Pd
Source: the Alexandria database
Functional: PBE-GGA
Structure: relaxed

CIF file:
```
data_Sr2Zn4Ag3Pd
_cell_length_a 4.556
_cell_length_b 4.556
_cell_length_c 10.560
_cell_angle_alpha 90.00
_cell_angle_beta 90.00
_cell_angle_gamma 90.00
_symmetry_space_group_name_H-M 'P 1'
_symmetry_Int_Tables_number 1
loop_
_symmetry_equiv_pos_as_xyz
'x,y,z'
loop_
_atom_site_label
_atom_site_type_symbol
_atom_site_fract_x
_atom_site_fract_y
_atom_site_fract_z
Sr1 Sr 0.500 0.000 0.259
Sr2 Sr 0.000 0.500 0.741
Zn1 Zn 0.500 0.500 0.000
Zn2 Zn 0.000 0.000 0.000
Zn3 Zn 0.500 0.000 0.620
Zn4 Zn 0.000 0.500 0.380
Ag1 Ag 0.000 0.000 0.500
Ag2 Ag 0.500 0.000 0.868
Ag3 Ag 0.000 0.500 0.132
Pd1 Pd 0.500 0.500 0.500
```

Properties
The value obtained for the calculated formation energy is -0.284 eV per atom. As for the density of states at the Fermi level: 0.64 states/eV/atom.


Record 8
Compound: SrZn2AgPd
Source: the Alexandria database
Functional: PBE-GGA
Structure: relaxed

CIF file:
```
data_SrZn2AgPd
_cell_length_a 4.822
_cell_length_b 4.822
_cell_length_c 5.277
_cell_angle_alpha 90.00
_cell_angle_beta 90.00
_cell_angle_gamma 90.00
_symmetry_space_group_name_H-M 'P 1'
_symmetry_Int_Tables_number 1
loop_
_symmetry_equiv_pos_as_xyz
'x,y,z'
loop_
_atom_site_label
_atom_site_type_symbol
_atom_site_fract_x
_atom_site_fract_y
_atom_site_fract_z
Sr1 Sr 0.500 0.500 0.500
Zn1 Zn 0.000 0.500 0.000
Zn2 Zn 0.500 0.000 0.000
Pd1 Pd 0.000 0.000 0.000
Ag1 Ag 0.000 0.000 0.500
```

Properties
The value obtained for the calculated formation energy is -0.209 eV per atom. As for the density of states at the Fermi level: 0.42 states/eV/atom.


Record 9
Compound: Sr2Zn2AgPd5
Source: the Alexandria database
Functional: PBE-GGA
Structure: relaxed

CIF file:
```
data_Sr2Zn2AgPd5
_cell_length_a 3.807
_cell_length_b 10.030
_cell_length_c 10.030
_cell_angle_alpha 90.00
_cell_angle_beta 90.00
_cell_angle_gamma 90.00
_symmetry_space_group_name_H-M 'P 1'
_symmetry_Int_Tables_number 1
loop_
_symmetry_equiv_pos_as_xyz
'x,y,z'
loop_
_atom_site_label
_atom_site_type_symbol
_atom_site_fract_x
_atom_site_fract_y
_atom_site_fract_z
Sr1 Sr 0.000 0.679 0.179
Sr2 Sr 0.000 0.321 0.821
Sr3 Sr 0.000 0.179 0.321
Sr4 Sr 0.000 0.821 0.679
Zn1 Zn 0.000 0.120 0.620
Zn2 Zn 0.000 0.880 0.380
Zn3 Zn 0.000 0.620 0.880
Zn4 Zn 0.000 0.380 0.120
Ag1 Ag 0.000 0.000 0.000
Ag2 Ag 0.000 0.500 0.500
Pd1 Pd 0.500 0.209 0.063
Pd2 Pd 0.500 0.791 0.937
Pd3 Pd 0.500 0.063 0.791
Pd4 Pd 0.500 0.709 0.437
Pd5 Pd 0.500 0.937 0.209
Pd6 Pd 0.500 0.291 0.563
Pd7 Pd 0.500 0.563 0.709
Pd8 Pd 0.500 0.437 0.291
Pd9 Pd 0.500 0.500 0.000
Pd10 Pd 0.500 0.000 0.500
```

Properties
The value obtained for the calculated formation energy is -0.476 eV per atom. As for the density of states at the Fermi level: 0.28 states/eV/atom.


Record 10
Compound: Ta2Ag2Pd
Source: the Alexandria database
Functional: PBE-GGA
Structure: relaxed

CIF file:
```
data_Ta2Ag2Pd
_cell_length_a 3.676
_cell_length_b 3.676
_cell_length_c 7.640
_cell_angle_alpha 76.08
_cell_angle_beta 76.08
_cell_angle_gamma 90.00
_symmetry_space_group_name_H-M 'P 1'
_symmetry_Int_Tables_number 1
loop_
_symmetry_equiv_pos_as_xyz
'x,y,z'
loop_
_atom_site_label
_atom_site_type_symbol
_atom_site_fract_x
_atom_site_fract_y
_atom_site_fract_z
Pd1 Pd 0.000 0.000 0.000
Ag1 Ag 0.750 0.250 0.500
Ag2 Ag 0.250 0.750 0.500
Ta1 Ta 0.415 0.415 0.170
Ta2 Ta 0.585 0.585 0.830
```

Properties
The value obtained for the calculated formation energy is 0.720 eV per atom. As for the density of states at the Fermi level: 1.37 states/eV/atom. The relative energy among the computed polymorphs is 128.2 meV/atom.


Record 11
Compound: TaAg2Pd2
Source: the Alexandria database
Functional: PBE-GGA
Structure: relaxed

CIF file:
```
data_TaAg2Pd2
_cell_length_a 7.686
_cell_length_b 7.686
_cell_length_c 2.908
_cell_angle_alpha 90.00
_cell_angle_beta 90.00
_cell_angle_gamma 90.00
_symmetry_space_group_name_H-M 'P 1'
_symmetry_Int_Tables_number 1
loop_
_symmetry_equiv_pos_as_xyz
'x,y,z'
loop_
_atom_site_label
_atom_site_type_symbol
_atom_site_fract_x
_atom_site_fract_y
_atom_site_fract_z
Pd1 Pd 0.176 0.676 0.500
Pd2 Pd 0.676 0.824 0.500
Pd3 Pd 0.824 0.324 0.500
Pd4 Pd 0.324 0.176 0.500
Ag1 Ag 0.376 0.876 0.000
Ag2 Ag 0.876 0.624 0.000
Ag3 Ag 0.624 0.124 0.000
Ag4 Ag 0.124 0.376 0.000
Ta1 Ta 0.000 0.000 0.000
Ta2 Ta 0.500 0.500 0.000
```

Properties
The value obtained for the calculated formation energy is 0.259 eV per atom. As for the density of states at the Fermi level: 0.82 states/eV/atom. The relative energy among the computed polymorphs is 0.0 meV/atom.